Entry 1:
First-principles (PBE) data for crystalline TcB2Pb at its relaxed geometry, as listed in the Alexandria database.

abc: 6.360 6.360 6.360
angles: 131.50 131.50 71.02
Positions (direct):
Tc (0.000, 0.000, 0.000)
Tc (0.750, 0.250, 0.500)
B (0.037, 0.625, 0.912)
B (0.375, 0.287, 0.412)
B (0.713, 0.125, 0.088)
B (0.875, 0.963, 0.588)
Pb (0.250, 0.750, 0.500)
Pb (0.500, 0.500, 0.000)

- E_tot (eV per formula unit) = -24.08
- density of states at the Fermi level (states/eV per cell) = 4.476

***

Entry 2:
First-principles (PBE) data for crystalline LiPrY2Hg4 at its relaxed geometry, as listed in the Alexandria database.

abc: 9.353 9.353 9.353
angles: 31.94 31.94 31.94
Positions (direct):
Li (0.000, 0.000, 0.000)
Pr (0.500, 0.500, 0.500)
Y (0.258, 0.258, 0.258)
Y (0.742, 0.742, 0.742)
Hg (0.116, 0.116, 0.116)
Hg (0.373, 0.373, 0.373)
Hg (0.627, 0.627, 0.627)
Hg (0.884, 0.884, 0.884)

- E_tot (eV per formula unit) = -24.43
- density of states at the Fermi level (states/eV per cell) = 6.742

***

Entry 3:
First-principles (PBE) data for crystalline CeMn2As3 at its relaxed geometry, as listed in the Alexandria database.

abc: 3.567 10.661 5.679
angles: 90.00 90.00 90.00
Positions (direct):
Ce (0.000, 0.116, 0.000)
Ce (0.000, 0.884, 0.500)
Mn (0.000, 0.261, 0.475)
Mn (0.000, 0.739, 0.975)
Mn (0.500, 0.469, 0.493)
Mn (0.500, 0.531, 0.993)
As (0.000, 0.404, 0.790)
As (0.000, 0.596, 0.290)
As (0.500, 0.112, 0.568)
As (0.500, 0.316, 0.187)
As (0.500, 0.684, 0.687)
As (0.500, 0.888, 0.068)

- E_tot (eV per formula unit) = -41.21
- density of states at the Fermi level (states/eV per cell) = 16.844